[1]
Compound: AcIn2Ag3
Source: Alexandria
Functional: PBE
Structure: relaxed

Cell lengths 18.0903, 4.5997, 11.1572 Å; angles 90.00, 105.82, 90.00 degrees
Last column: nearest neighbours and their distance in Å.
Space group C2/m (No. 12)
Unique sites:
Ac  0.0000  0.0000  0.0000  6 In 3.58-3.61, 8 Ag 3.61-3.65
Ac  0.1562  0.0000  0.7094  9 Ag 3.52-3.89, 6 In 3.60-3.69
In  0.0090  0.5000  0.7580  5 Ag 2.72-2.84
In  0.1580  0.5000  0.4618  7 Ag 2.83-3.00
In  0.2071  0.0000  0.0831  6 Ag 2.80-3.04
Ag  0.0000  0.5000  0.5000  4 In 2.84-3.00, 4 Ag 2.92
Ag  0.0521  0.0000  0.3834  4 In 2.84-2.97, 3 Ag 2.92-2.94
Ag  0.1364  0.5000  0.1912  3 Ag 2.81-2.92, 4 In 2.84-3.04
Ag  0.1432  0.5000  0.9421  4 In 2.72-2.85, 1 Ag 2.81
Ag  0.2055  0.0000  0.3408  4 In 2.83-2.91, 3 Ag 2.92-2.94

Properties
For the uncorrected energy, the calculation gives -3.272 eV per atom. The calculation puts the volume at 148.9 Å³/f.u.

[2]
Compound: La2US6
Source: Alexandria
Functional: PBE
Structure: relaxed

Cell lengths 6.4405, 6.4405, 12.7376 Å; angles 90.00, 90.00, 90.00 degrees
Last column: nearest neighbours and their distance in Å.
Space group P4_2/mnm (No. 136)
Unique sites:
La  0.0000  0.0000  0.1668  6 S 2.87-2.90
U  0.0000  0.0000  0.5000  6 S 2.55-2.59
S  0.1849  0.1849  0.3491  1 U 2.55
S  0.2161  0.2161  0.0000  1 U 2.59, 2 La 2.90

Properties
For the uncorrected energy, the calculation gives -6.720 eV per atom. Its raw formation energy is -1.619 eV per atom. The calculation puts the volume at 264.2 Å³/f.u.

[3]
Compound: CsBaTiSe3
Source: Alexandria
Functional: PBE
Structure: relaxed

Cell lengths 17.6828, 5.0795, 9.8171 Å; angles 90.00, 106.07, 90.00 degrees
Last column: nearest neighbours and their distance in Å.
Space group C2/m (No. 12)
Unique sites:
Cs  0.1363  0.0000  0.0663  7 Se 3.70-3.87
Ba  0.1600  0.0000  0.5835  7 Se 3.26-3.39
Ti  0.0005  0.5000  0.3336  4 Se 2.49-2.55
Se  0.0025  0.0000  0.3158  2 Ti 2.55
Se  0.1421  0.5000  0.7954  1 Ti 2.49
Se  0.1463  0.5000  0.3488  1 Ti 2.54

Properties
For the uncorrected energy, the calculation gives -4.846 eV per atom. Its raw formation energy is -1.325 eV per atom. The calculation puts the volume at 211.8 Å³/f.u.

[4]
Compound: Ca2IrBr
Source: Alexandria
Functional: PBE
Structure: relaxed

Cell lengths 5.1833, 5.1833, 3.3901 Å; angles 90.00, 90.00, 90.00 degrees
Last column: nearest neighbours and their distance in Å.
Space group P4mm (No. 99)
Unique sites:
Ca  0.0000  0.5000  0.0000  4 Ir 3.09-3.10, 4 Br 3.10, 2 Ca 3.39
Ir  0.0000  0.0000  0.4989  8 Ca 3.09-3.10, 2 Ir 3.39
Br  0.5000  0.5000  0.5009  8 Ca 3.10, 2 Br 3.39

Properties
For the uncorrected energy, the calculation gives -4.337 eV per atom. Its raw formation energy is -0.703 eV per atom. The calculation puts the volume at 91.1 Å³/f.u.

[5]
Compound: PdPbAu
Source: Alexandria
Functional: PBE
Structure: relaxed

Cell lengths 6.4772, 6.4772, 6.4772 Å; angles 90.00, 90.00, 90.00 degrees
Last column: nearest neighbours and their distance in Å.
Space group F-43m (No. 216)
Unique sites:
Pd  0.0000  0.0000  0.0000  4 Pb 2.80, 4 Au 2.80
Pb  0.2500  0.2500  0.7500  4 Pd 2.80
Au  0.2500  0.2500  0.2500  4 Pd 2.80

Properties
For the uncorrected energy, the calculation gives -4.142 eV per atom. The calculation puts the volume at 67.9 Å³/f.u.

[6]
Compound: NdPuMgGa
Source: Alexandria
Functional: PBE
Structure: relaxed

Cell lengths 7.4478, 7.4478, 7.4478 Å; angles 90.00, 90.00, 90.00 degrees
Last column: nearest neighbours and their distance in Å.
Space group F-43m (No. 216)
Unique sites:
Nd  0.0000  0.0000  0.0000  4 Ga 3.22, 4 Mg 3.22
Pu  0.0000  0.0000  0.5000  4 Mg 3.22, 4 Ga 3.22
Mg  0.2500  0.2500  0.2500  4 Nd 3.22, 4 Pu 3.22
Ga  0.2500  0.2500  0.7500  4 Nd 3.22, 4 Pu 3.22

Properties
For the uncorrected energy, the calculation gives -6.068 eV per atom. The calculation puts the volume at 103.3 Å³/f.u.

[7]
Compound: Tb4TlPb2
Source: Alexandria
Functional: PBE
Structure: relaxed

Cell lengths 5.8382, 6.6009, 10.8927 Å; angles 90.00, 101.93, 90.00 degrees
Last column: nearest neighbours and their distance in Å.
Space group P2_1/m (No. 11)
Unique sites:
Tb  0.1392  0.2500  0.1281  3 Pb 3.15-3.28, 3 Tl 3.25-3.35
Tb  0.2671  0.7500  0.4469  1 Tl 2.98, 4 Pb 3.13-3.32
Tb  0.3149  0.0084  0.7324  3 Tb 3.19-3.51, 1 Tl 3.22, 3 Pb 3.30-3.55
Tl  0.0927  0.7500  0.1701  1 Pb 2.95, 4 Tb 2.98-3.25
Pb  0.1973  0.2500  0.4344  5 Tb 3.13-3.32
Pb  0.4210  0.7500  0.9972  1 Tl 2.95, 4 Tb 3.15-3.30

Properties
For the uncorrected energy, the calculation gives -4.351 eV per atom. The calculation puts the volume at 205.4 Å³/f.u.

[8]
Compound: Ba4FeNi
Source: Alexandria
Functional: PBE
Structure: relaxed

Cell lengths 9.9104, 9.9104, 9.9104 Å; angles 90.00, 90.00, 90.00 degrees
Last column: nearest neighbours and their distance in Å.
Space group F-43m (No. 216)
Unique sites:
Ba  0.1252  0.1252  0.1252  6 Ba 3.50-3.51
Fe  0.2500  0.2500  0.7500  12 Ba 4.11, 4 Ni 4.29
Ni  0.0000  0.0000  0.5000  12 Ba 4.11, 4 Fe 4.29

Properties
For the uncorrected energy, the calculation gives -2.443 eV per atom. The calculation puts the volume at 243.3 Å³/f.u.

[9]
Compound: YZnCu
Source: Alexandria
Functional: PBE
Structure: relaxed

Cell lengths 3.3960, 3.3960, 9.8687 Å; angles 90.00, 90.00, 90.00 degrees
Last column: nearest neighbours and their distance in Å.
Space group I4mm (No. 107)
Unique sites:
Y  0.0000  0.0000  0.0000  5 Zn 3.02-3.07, 5 Cu 3.04-3.06
Zn  0.0000  0.0000  0.6945  4 Cu 2.66
Cu  0.0000  0.0000  0.3105  4 Zn 2.66

Properties
For the uncorrected energy, the calculation gives -4.136 eV per atom. The calculation puts the volume at 56.9 Å³/f.u.

[10]
Compound: EuBiAs2
Source: Alexandria
Functional: PBE
Structure: relaxed

Cell lengths 4.9234, 4.9234, 4.0983 Å; angles 90.00, 90.00, 90.00 degrees
Last column: nearest neighbours and their distance in Å.
Space group P4/mmm (No. 123)
Unique sites:
Eu  0.0000  0.0000  0.0000  8 As 3.20, 4 Bi 3.48
Bi  0.5000  0.5000  0.0000  8 As 3.20, 4 Eu 3.48
As  0.0000  0.5000  0.5000  4 Bi 3.20, 4 Eu 3.20, 4 As 3.48

Properties
For the uncorrected energy, the calculation gives -6.343 eV per atom. The calculation puts the volume at 99.3 Å³/f.u.

[11]
Compound: TcTeIr2
Source: Alexandria
Functional: PBE
Structure: relaxed

Cell lengths 2.9083, 2.9083, 27.5475 Å; angles 90.00, 90.00, 120.00 degrees
Last column: nearest neighbours and their distance in Å.
Space group R-3m (No. 166, hexagonal axes)
Unique sites:
Tc  0.0000  0.0000  0.0000  6 Ir 2.69, 6 Tc 2.91
Te  0.0000  0.0000  0.5000  6 Te 2.91, 6 Ir 3.01
Ir  0.0000  0.0000  0.2572  3 Tc 2.69, 6 Ir 2.91, 3 Te 3.01

Properties
For the uncorrected energy, the calculation gives -7.384 eV per atom. Its raw formation energy is 0.423 eV per atom. The calculation puts the volume at 67.3 Å³/f.u.

[12]
Compound: EuTiO2
Source: Alexandria
Functional: PBE
Structure: relaxed

Cell lengths 2.8191, 2.8191, 5.8879 Å; angles 90.00, 90.00, 90.00 degrees
Last column: nearest neighbours and their distance in Å.
Space group P4/mmm (No. 123)
Unique sites:
Eu  0.0000  0.0000  0.0000  8 O 2.62, 4 Eu 2.82
Ti  0.0000  0.0000  0.5000  8 O 2.35
O  0.5000  0.5000  0.2880  4 Ti 2.35, 1 O 2.50, 4 Eu 2.62

Properties
For the uncorrected energy, the calculation gives -8.967 eV per atom. Its raw formation energy is -1.945 eV per atom. The calculation puts the volume at 46.8 Å³/f.u.

[13]
Compound: InSbMoI2
Source: Alexandria
Functional: PBE
Structure: relaxed

Cell lengths 5.7991, 5.7991, 5.2534 Å; angles 90.00, 90.00, 90.00 degrees
Last column: nearest neighbours and their distance in Å.
Space group P4/mmm (No. 123)
Unique sites:
In  0.0000  0.0000  0.0000  8 I 3.91, 4 Sb 4.10
Sb  0.5000  0.5000  0.0000  2 Mo 2.63
Mo  0.5000  0.5000  0.5000  2 Sb 2.63, 4 I 2.90
I  0.0000  0.5000  0.5000  2 Mo 2.90

Properties
For the uncorrected energy, the calculation gives -3.842 eV per atom. Its raw formation energy is 0.316 eV per atom. The calculation puts the volume at 176.7 Å³/f.u.